Here is a relaxed structure of PuAgBrF6 from Alexandria. Energies are from PBE.

Results
Uncorrected energy   -5.62 eV per atom
Mass density   4.66 Mg/m³
Magnetic moment   1.96 μB/f.u.
Space-group type   No. 1

```
data_PuAgBrF6
_space_group_name_H-M_alt 'P 1'
_space_group_IT_number 1
_cell_length_a 4.902
_cell_length_b 6.199
_cell_length_c 6.514
_cell_angle_alpha 95.95
_cell_angle_beta 95.02
_cell_angle_gamma 96.65
loop_
_space_group_symop_operation_xyz
'x,y,z'
loop_
_atom_site_label
_atom_site_fract_x
_atom_site_fract_y
_atom_site_fract_z
Pu1 0.000 0.000 0.000
Ag1 0.273 0.640 0.491
Br1 0.747 0.511 0.478
F1 0.194 0.926 0.276
F2 0.206 0.307 0.041
F3 0.289 0.872 0.823
F4 0.701 0.112 0.162
F5 0.791 0.696 0.969
F6 0.811 0.069 0.729
```